# 1
6
Lattice="-0.8756 -2.3810 -3.2237 3.6640 -1.8173 0.3471 -5.4365 -5.2966 5.3887" Properties=species:S:1:pos:R:3 comment="PBE ThSe5, optimized geometry" vol_a3_per_fu=153 dos_ef_per_ev_fu=3.2 spacegroup="Cmmm, No. 65" final_energy_ev_per_atom=-4.7974 formation_energy_uncorrected_ev_per_atom=-0.657 pbc="T T T"
Se -2.5944 -4.4662 4.0034
Se 0.8218 -2.6477 1.7324
Se -1.2001 -6.5652 2.5649
Th 0.0000 0.0000 0.0000
Se -1.4481 -2.9298 -0.0528
Se 1.3942 -2.0992 -1.4383

# 2
4
Lattice="3.3180 0.0000 0.0000 1.6590 2.8735 0.0000 1.6590 0.9578 11.9459" Properties=species:S:1:pos:R:3 comment="PBE Th2MgAl, optimized geometry" vol_a3_per_fu=114 dos_ef_per_ev_fu=4.5 spacegroup="R-3m, No. 166" formation_enthalpy_0k_ev_per_atom=0.208 final_energy_ev_per_atom=-4.8367 pbc="T T T"
Th 1.6590 0.9578 8.5995
Mg 0.0000 0.0000 0.0000
Th 4.9770 2.8735 3.3464
Al 3.3180 1.9157 5.9730

# 3
8
Lattice="4.8497 0.0000 0.0000 -2.4249 4.2000 0.0000 0.0000 0.0000 8.8537" Properties=species:S:1:pos:R:3 comment="PBE LiMg3, optimized geometry" vol_a3_per_fu=90 dos_ef_per_ev_fu=0.8 spacegroup="P6_3/mmc, No. 194" formation_enthalpy_0k_ev_per_atom=0.047 final_energy_ev_per_atom=-1.6273 pbc="T T T"
Mg 2.4249 1.4000 8.1604
Mg 2.4249 1.4000 5.1201
Li 0.0000 2.8000 6.6403
Li 2.4249 1.4000 2.2134
Mg 0.0000 0.0000 6.6403
Mg 0.0000 0.0000 2.2134
Mg 0.0000 2.8000 3.7336
Mg 0.0000 2.8000 0.6933